(1)
Density functional theory data (PBE) for crystalline B7C5 at its relaxed geometry.

Its magnetization is 0.00 μB per formula unit. The density of states at the Fermi level is 0.12 states/eV/atom. For the energy above the lowest structure with this stoichiometry, the calculation gives 0.2884 eV per atom. For the formation enthalpy at 0 K, the calculation gives 453 meV per atom.

It has space group P3m1 (No. 156), with a = 2.6398 Å, b = 2.6398 Å, c = 15.2906 Å, α = 90.00°, β = 90.00° and γ = 120.00°. The inequivalent atoms are B at (0.0000, 0.0000, 0.0000), B at (0.0000, 0.0000, 0.1106), B at (0.0000, 0.0000, 0.5385), B at (0.0000, 0.0000, 0.6527), B at (0.3333, 0.6667, 0.1824), B at (0.3333, 0.6667, 0.7180), B at (0.6667, 0.3333, 0.2928), C at (0.3333, 0.6667, 0.2843), C at (0.3333, 0.6667, 0.8210), C at (0.6667, 0.3333, 0.5359), C at (0.6667, 0.3333, 0.8567) and C at (0.6667, 0.3333, 0.9546).



(2)
Density functional theory data (PBE) for crystalline BC at its relaxed geometry.

Its magnetization is 0.00 μB per formula unit. The density of states at the Fermi level is 0.14 states/eV/atom. For the energy above the lowest structure with this stoichiometry, the calculation gives 0.2737 eV per atom. For the formation enthalpy at 0 K, the calculation gives 425 meV per atom.

It has space group Cm (No. 8), with a = 13.299 Å, b = 2.574 Å, c = 4.899 Å, α = 90.00°, β = 107.56° and γ = 90.00°. The inequivalent atoms are B at (0.000, 0.000, 0.000), B at (0.014, 0.000, 0.640), B at (0.160, 0.000, 0.808), B at (0.203, 0.500, 0.069), B at (0.338, 0.500, 0.076), B at (0.364, 0.000, 0.340), C at (0.041, 0.500, 0.208), C at (0.162, 0.500, 0.338), C at (0.200, 0.000, 0.525), C at (0.324, 0.000, 0.617), C at (0.369, 0.500, 0.790) and C at (0.491, 0.000, 0.449).



(3)
Density functional theory data (PBE) for crystalline BC at its relaxed geometry.

Its magnetization is 0.00 μB per formula unit. The density of states at the Fermi level is 0.00 states/eV/atom. For the energy above the lowest structure with this stoichiometry, the calculation gives 0.2552 eV per atom. For the formation enthalpy at 0 K, the calculation gives 406 meV per atom.

It has space group P1 (No. 1), with a = 4.368 Å, b = 4.369 Å, c = 4.523 Å, α = 76.74°, β = 76.04° and γ = 70.12°. The inequivalent atoms are B at (0.000, 0.000, 0.000), B at (0.034, 0.668, 0.781), B at (0.082, 0.716, 0.389), B at (0.589, 0.752, 0.326), B at (0.704, 0.408, 0.858), B at (0.799, 0.138, 0.335), C at (0.231, 0.369, 0.292), C at (0.319, 0.381, 0.941), C at (0.372, 0.050, 0.824), C at (0.446, 0.082, 0.472), C at (0.659, 0.788, 0.965) and C at (0.836, 0.426, 0.477).



(4)
Density functional theory data (PBE) for crystalline BC at its relaxed geometry.

Its magnetization is 0.00 μB per formula unit. The density of states at the Fermi level is 0.18 states/eV/atom. For the energy above the lowest structure with this stoichiometry, the calculation gives 0.2441 eV per atom. For the formation enthalpy at 0 K, the calculation gives 395 meV per atom.

It has space group Pm (No. 6), with a = 4.256 Å, b = 2.603 Å, c = 7.362 Å, α = 90.00°, β = 90.16° and γ = 90.00°. The inequivalent atoms are B at (0.000, 0.000, 0.000), B at (0.004, 0.000, 0.676), B at (0.071, 0.000, 0.327), B at (0.330, 0.000, 0.866), B at (0.463, 0.500, 0.542), B at (0.798, 0.500, 0.291), C at (0.268, 0.000, 0.514), C at (0.319, 0.000, 0.146), C at (0.512, 0.500, 0.165), C at (0.564, 0.500, 0.845), C at (0.758, 0.500, 0.675) and C at (0.782, 0.500, 0.010).



(5)
Density functional theory data (PBE) for crystalline B7C5 at its relaxed geometry.

Its magnetization is 0.00 μB per formula unit. The density of states at the Fermi level is 0.14 states/eV/atom. For the energy above the lowest structure with this stoichiometry, the calculation gives 0.2406 eV per atom. For the formation enthalpy at 0 K, the calculation gives 405 meV per atom.

It has space group Cm (No. 8), with a = 14.355 Å, b = 2.677 Å, c = 4.533 Å, α = 90.00°, β = 104.49° and γ = 90.00°. The inequivalent atoms are B at (0.000, 0.000, 0.000), B at (0.000, 0.500, 0.353), B at (0.105, 0.500, 0.214), B at (0.125, 0.500, 0.611), B at (0.281, 0.000, 0.891), B at (0.426, 0.500, 0.251), B at (0.445, 0.000, 0.663), C at (0.118, 0.000, 0.061), C at (0.157, 0.000, 0.784), C at (0.313, 0.500, 0.097), C at (0.313, 0.500, 0.414) and C at (0.327, 0.000, 0.594).



(6)
Density functional theory data (PBE) for crystalline B3C7 at its relaxed geometry.

Its magnetization is 0.00 μB per formula unit. The density of states at the Fermi level is 0.15 states/eV/atom. For the energy above the lowest structure with this stoichiometry, the calculation gives 0.0542 eV per atom. For the formation enthalpy at 0 K, the calculation gives 317 meV per atom.

It has space group I-4m2 (No. 119), with a = 2.508 Å, b = 2.508 Å, c = 19.954 Å, α = 90.00°, β = 90.00° and γ = 90.00°. The inequivalent atoms are B at (0.000, 0.000, 0.000), B at (0.000, 0.000, 0.198), C at (0.000, 0.000, 0.402), C at (0.000, 0.500, 0.143), C at (0.000, 0.500, 0.554) and C at (0.000, 0.500, 0.750).



(7)
Density functional theory data (PBE) for crystalline B7C5 at its relaxed geometry.

Its magnetization is 0.00 μB per formula unit. The density of states at the Fermi level is 0.10 states/eV/atom. For the energy above the lowest structure with this stoichiometry, the calculation gives 0.2402 eV per atom. For the formation enthalpy at 0 K, the calculation gives 405 meV per atom.

It has space group Pm (No. 6), with a = 4.536 Å, b = 2.701 Å, c = 7.976 Å, α = 90.00°, β = 93.20° and γ = 90.00°. The inequivalent atoms are B at (0.000, 0.000, 0.000), B at (0.006, 0.500, 0.120), B at (0.134, 0.000, 0.792), B at (0.280, 0.500, 0.327), B at (0.356, 0.000, 0.102), B at (0.668, 0.500, 0.998), B at (0.765, 0.000, 0.804), C at (0.285, 0.500, 0.774), C at (0.454, 0.000, 0.315), C at (0.600, 0.500, 0.792), C at (0.772, 0.000, 0.335) and C at (0.933, 0.500, 0.328).



(8)
Density functional theory data (PBE) for crystalline BC at its relaxed geometry.

Its magnetization is 0.00 μB per formula unit. The density of states at the Fermi level is 0.17 states/eV/atom. For the energy above the lowest structure with this stoichiometry, the calculation gives 0.2798 eV per atom. For the formation enthalpy at 0 K, the calculation gives 431 meV per atom.

It has space group Cm (No. 8), with a = 8.893 Å, b = 2.634 Å, c = 6.583 Å, α = 90.00°, β = 116.65° and γ = 90.00°. The inequivalent atoms are B at (0.000, 0.000, 0.000), B at (0.024, 0.000, 0.283), B at (0.157, 0.500, 0.476), B at (0.262, 0.000, 0.114), B at (0.442, 0.000, 0.645), C at (0.142, 0.500, 0.711), C at (0.226, 0.000, 0.842), C at (0.332, 0.500, 0.258), C at (0.340, 0.500, 0.491) and C at (0.419, 0.000, 0.892).



(9)
Density functional theory data (PBE) for crystalline B3C at its relaxed geometry.

Its magnetization is 0.00 μB per formula unit. The density of states at the Fermi level is 0.10 states/eV/atom. For the energy above the lowest structure with this stoichiometry, the calculation gives 0.1139 eV per atom. For the formation enthalpy at 0 K, the calculation gives 354 meV per atom.

It has space group Cm (No. 8), with a = 12.667 Å, b = 2.752 Å, c = 4.777 Å, α = 90.00°, β = 97.06° and γ = 90.00°. The inequivalent atoms are B at (0.000, 0.000, 0.000), B at (0.001, 0.500, 0.489), B at (0.085, 0.500, 0.853), B at (0.144, 0.500, 0.518), B at (0.148, 0.000, 0.041), B at (0.204, 0.000, 0.399), B at (0.281, 0.500, 0.550), B at (0.286, 0.000, 0.109), B at (0.335, 0.000, 0.781), C at (0.342, 0.500, 0.268), C at (0.459, 0.000, 0.808) and C at (0.461, 0.500, 0.312).



(10)
Density functional theory data (PBE) for crystalline B3C2 at its relaxed geometry.

Its magnetization is 0.00 μB per formula unit. The density of states at the Fermi level is 0.18 states/eV/atom. For the energy above the lowest structure with this stoichiometry, the calculation gives 0.1564 eV per atom. For the formation enthalpy at 0 K, the calculation gives 367 meV per atom.

It has space group Imm2 (No. 44), with a = 2.710 Å, b = 14.325 Å, c = 4.179 Å, α = 90.00°, β = 90.00° and γ = 90.00°. The inequivalent atoms are B at (0.000, 0.000, 0.000), B at (0.000, 0.106, 0.300), B at (0.000, 0.264, 0.513), B at (0.000, 0.500, 0.224), C at (0.000, 0.211, 0.177) and C at (0.000, 0.444, 0.887).



(11)
Density functional theory data (PBE) for crystalline B7C5 at its relaxed geometry.

Its magnetization is 0.00 μB per formula unit. The density of states at the Fermi level is 0.12 states/eV/atom. For the energy above the lowest structure with this stoichiometry, the calculation gives 0.3018 eV per atom. For the formation enthalpy at 0 K, the calculation gives 466 meV per atom.

It has space group Cm (No. 8), with a = 13.263 Å, b = 2.482 Å, c = 5.078 Å, α = 90.00°, β = 100.69° and γ = 90.00°. The inequivalent atoms are B at (0.000, 0.000, 0.000), B at (0.008, 0.000, 0.461), B at (0.092, 0.000, 0.777), B at (0.186, 0.500, 0.837), B at (0.258, 0.500, 0.559), B at (0.272, 0.500, 0.143), B at (0.359, 0.000, 0.654), C at (0.101, 0.000, 0.264), C at (0.166, 0.500, 0.303), C at (0.357, 0.000, 0.168), C at (0.419, 0.000, 0.953) and C at (0.427, 0.000, 0.430).



(12)
Density functional theory data (PBE) for crystalline BC at its relaxed geometry.

Its magnetization is 0.00 μB per formula unit. The density of states at the Fermi level is 0.30 states/eV/atom. For the energy above the lowest structure with this stoichiometry, the calculation gives 0.1211 eV per atom. For the formation enthalpy at 0 K, the calculation gives 272 meV per atom.

It has space group R3m (No. 160, hexagonal axes), with a = 2.6515 Å, b = 2.6515 Å, c = 37.9514 Å, α = 90.00°, β = 90.00° and γ = 120.00°. The inequivalent atoms are B at (0.0000, 0.0000, 0.0000), B at (0.0000, 0.0000, 0.1007), B at (0.0000, 0.0000, 0.2617), B at (0.0000, 0.0000, 0.4825), B at (0.0000, 0.0000, 0.6217), C at (0.0000, 0.0000, 0.2203), C at (0.0000, 0.0000, 0.4382), C at (0.0000, 0.0000, 0.6631), C at (0.0000, 0.0000, 0.8331) and C at (0.0000, 0.0000, 0.8726).